Entry 1:
A plane-wave DFT calculation with PBE was carried out for a relaxed NaPmAgAs crystal.

Properties
V, A^3/atom: 23.470
Uncorrected energy, eV/atom: -3.908
E_form, eV/atom: -0.515

Structure (POSCAR):
```
NaPmAgAs
1.0
7.215 0.000 0.000
0.000 7.215 0.000
0.000 0.000 7.215
Na Pm Ag As
4 4 4 4
Cartesian
0.000 0.000 0.000
0.000 3.607 3.607
3.607 0.000 3.607
3.607 3.607 0.000
0.000 0.000 3.607
0.000 3.607 0.000
3.607 0.000 0.000
3.607 3.607 3.607
1.804 1.804 1.804
1.804 5.411 5.411
5.411 1.804 5.411
5.411 5.411 1.804
1.804 1.804 5.411
1.804 5.411 1.804
5.411 1.804 1.804
5.411 5.411 5.411
```



Entry 2:
A plane-wave DFT calculation with PBE was carried out for a relaxed CePuCdPb crystal.

Properties
Energy relative to the lowest polymorph listed for this composition, meV/atom: 0
V, A^3/atom: 26.964
Uncorrected energy, eV/atom: -6.431
E_form, eV/atom: -0.208

Structure (POSCAR):
```
CePuCdPb
1.0
4.706 0.000 0.000
0.000 4.723 0.000
0.000 0.000 4.853
Ce Pu Cd Pb
1 1 1 1
Cartesian
0.000 0.000 0.000
2.353 2.361 0.000
2.353 0.000 2.426
0.000 2.361 2.426
```



Entry 3:
A plane-wave DFT calculation with PBE was carried out for a relaxed Tb2GaCo crystal.

Properties
V, A^3/atom: 21.238
Uncorrected energy, eV/atom: -5.205
E_form, eV/atom: -0.356

Structure (POSCAR):
```
Tb2GaCo
1.0
3.451 0.000 0.000
0.000 3.451 0.000
0.000 0.000 7.135
Tb Ga Co
2 1 1
Cartesian
0.000 0.000 1.641
0.000 0.000 5.494
1.725 1.725 3.568
1.725 1.725 0.000
```



Entry 4:
A plane-wave DFT calculation with PBE was carried out for a relaxed Pm3YEr5 crystal.

Properties
V, A^3/atom: 32.327
Uncorrected energy, eV/atom: -4.571
E_form, eV/atom: 0.266

Structure (POSCAR):
```
Pm3YEr5
1.0
-4.352 4.352 7.682
4.352 -4.352 7.682
4.352 4.352 -7.682
Pm Y Er
6 2 10
Cartesian
5.363 1.011 0.000
0.000 0.000 3.841
1.011 3.340 0.000
3.340 1.011 7.682
0.000 0.000 11.523
-1.011 3.340 7.682
4.352 0.000 3.841
0.000 4.352 3.841
0.000 0.000 0.000
2.519 1.833 -2.109
2.519 -1.833 5.573
2.519 1.833 2.109
2.519 -1.833 9.791
0.000 0.000 7.682
1.833 6.184 -2.109
1.833 2.519 5.573
1.833 6.184 2.109
1.833 2.519 9.791
```



Entry 5:
A plane-wave DFT calculation with PBE was carried out for a relaxed Ac5Pt4Se crystal.

Properties
V, A^3/atom: 30.780
Formation energy from raw total energies, eV/atom: -1.30
Uncorrected energy, eV/atom: -6.120

Structure (POSCAR):
```
Ac5Pt4Se
1.0
-2.193 3.150 11.139
2.193 -3.150 11.139
2.193 3.150 -11.139
Ac Pt Se
5 4 1
Cartesian
0.000 0.000 0.000
0.000 0.000 4.409
0.000 0.000 8.729
0.000 0.000 13.550
0.000 0.000 17.870
2.193 0.000 2.198
2.193 0.000 6.615
0.000 3.150 4.525
0.000 3.150 8.942
0.000 3.150 0.000
```



Entry 6:
A plane-wave DFT calculation with PBE was carried out for a relaxed Ac4Ge2Cl5 crystal.

Properties
V, A^3/atom: 40.205
Formation energy from raw total energies, eV/atom: -1.60
Uncorrected energy, eV/atom: -4.775

Structure (POSCAR):
```
Ac4Ge2Cl5
1.0
12.218 -2.232 0.000
12.218 2.232 0.000
-2.125 0.000 8.109
Ac Ge Cl
4 2 5
Cartesian
-0.511 0.000 2.172
7.133 0.000 4.335
15.177 0.000 3.775
22.821 0.000 5.937
9.972 0.000 3.676
12.338 0.000 4.433
2.597 0.000 1.836
4.181 0.000 5.410
12.218 0.000 0.000
18.130 0.000 2.700
19.714 0.000 6.273
```



Entry 7:
A plane-wave DFT calculation with PBE was carried out for a relaxed TaMoI3 crystal.

Properties
Energy relative to the lowest polymorph listed for this composition, meV/atom: 0
V, A^3/atom: 34.864
Formation energy from raw total energies, eV/atom: 1.15
Uncorrected energy, eV/atom: -4.318

Structure (POSCAR):
```
TaMoI3
1.0
5.586 0.000 0.000
0.000 5.586 0.000
0.000 0.000 5.586
Ta Mo I
1 1 3
Cartesian
0.000 0.000 0.000
2.793 2.793 2.793
0.000 0.000 2.793
0.000 2.793 0.000
2.793 0.000 0.000
```



Entry 8:
A plane-wave DFT calculation with PBE was carried out for a relaxed NiAgPt4 crystal.

Properties
Energy relative to the lowest polymorph listed for this composition, meV/atom: 248
V, A^3/atom: 16.996
Uncorrected energy, eV/atom: -5.256
E_form, eV/atom: 0.210

Structure (POSCAR):
```
NiAgPt4
1.0
0.000 3.708 3.708
3.708 0.000 3.708
3.708 3.708 0.000
Ni Ag Pt
1 1 4
Cartesian
0.000 0.000 0.000
1.854 1.854 1.854
4.636 2.780 2.780
2.780 4.636 2.780
2.780 2.780 4.636
4.636 4.636 4.636
```



Entry 9:
A plane-wave DFT calculation with PBE was carried out for a relaxed NaHfGa2 crystal.

Properties
Energy relative to the lowest polymorph listed for this composition, meV/atom: 166
V, A^3/atom: 19.444
Uncorrected energy, eV/atom: -4.334
E_form, eV/atom: -0.003

Structure (POSCAR):
```
NaHfGa2
1.0
6.776 0.000 0.000
0.000 6.776 0.000
0.000 0.000 6.776
Na Hf Ga
4 4 8
Cartesian
0.000 0.000 0.000
0.000 3.388 3.388
3.388 0.000 3.388
3.388 3.388 0.000
0.000 0.000 3.388
0.000 3.388 0.000
3.388 0.000 0.000
3.388 3.388 3.388
1.694 1.694 1.694
1.694 1.694 5.082
1.694 5.082 1.694
1.694 5.082 5.082
5.082 1.694 1.694
5.082 1.694 5.082
5.082 5.082 1.694
5.082 5.082 5.082
```



Entry 10:
A plane-wave DFT calculation with PBE was carried out for a relaxed Nd3Hg4Pb crystal.

Properties
V, A^3/atom: 27.945
Uncorrected energy, eV/atom: -2.825
E_form, eV/atom: -0.422

Structure (POSCAR):
```
Nd3Hg4Pb
1.0
2.668 1.540 9.068
-2.668 1.540 9.068
0.000 -3.080 9.068
Nd Hg Pb
3 4 1
Cartesian
0.000 0.000 0.000
0.000 0.000 6.565
0.000 0.000 20.640
0.000 0.000 3.244
0.000 0.000 10.045
0.000 0.000 17.160
0.000 0.000 23.961
0.000 0.000 13.602
```



Entry 11:
A plane-wave DFT calculation with PBE was carried out for a relaxed Li2Sn3Pd6 crystal.

Properties
V, A^3/atom: 16.994
Uncorrected energy, eV/atom: -4.645
E_form, eV/atom: -0.373

Structure (POSCAR):
```
Li2Sn3Pd6
1.0
-2.027 2.027 11.379
2.027 -2.027 11.379
2.027 2.027 -11.379
Li Sn Pd
2 3 6
Cartesian
0.000 0.000 1.064
0.000 0.000 21.693
0.000 0.000 7.195
0.000 0.000 11.379
0.000 0.000 15.562
2.027 0.000 2.345
0.000 0.000 4.558
2.027 0.000 9.034
0.000 2.027 2.345
0.000 0.000 18.199
0.000 2.027 9.034
```



Entry 12:
A plane-wave DFT calculation with PBE was carried out for a relaxed Ag2SbMo crystal.

Properties
V, A^3/atom: 18.551
Formation energy from raw total energies, eV/atom: 0.40
Uncorrected energy, eV/atom: -4.766

Structure (POSCAR):
```
Ag2SbMo
1.0
4.025 0.000 0.000
0.000 4.025 0.000
0.000 0.000 4.581
Ag Sb Mo
2 1 1
Cartesian
0.000 2.012 0.000
2.012 0.000 0.000
0.000 0.000 2.290
2.012 2.012 2.290
```



Entry 13:
A plane-wave DFT calculation with PBE was carried out for a relaxed RbSb3 crystal.

Properties
Energy relative to the lowest polymorph listed for this composition, meV/atom: 0
V, A^3/atom: 38.776
Formation energy from raw total energies, eV/atom: -0.11
Uncorrected energy, eV/atom: -3.448

Structure (POSCAR):
```
RbSb3
1.0
7.455 0.000 0.000
0.000 18.594 0.000
0.000 0.000 4.475
Rb Sb
4 12
Cartesian
0.000 3.346 1.119
0.000 15.248 3.357
3.728 5.951 3.357
3.728 12.643 1.119
0.000 6.511 3.357
0.000 12.083 1.119
1.432 8.158 1.119
1.432 10.436 3.357
2.296 1.139 3.357
2.296 17.455 1.119
3.728 2.786 1.119
3.728 15.808 3.357
5.159 1.139 3.357
5.159 17.455 1.119
6.024 8.158 1.119
6.024 10.436 3.357
```



Entry 14:
A plane-wave DFT calculation with PBE was carried out for a relaxed AcNd2InO crystal.

Properties
V, A^3/atom: 26.555
Formation energy from raw total energies, eV/atom: -1.33
Uncorrected energy, eV/atom: -5.595

Structure (POSCAR):
```
AcNd2InO
1.0
5.055 0.000 0.000
0.000 5.055 0.000
0.000 0.000 5.197
Ac Nd In O
1 2 1 1
Cartesian
0.000 0.000 0.000
0.000 2.527 2.598
2.527 0.000 2.598
2.527 2.527 0.000
0.000 0.000 2.598
```



Entry 15:
A plane-wave DFT calculation with PBE was carried out for a relaxed Ta2NiAu crystal.

Properties
Energy relative to the lowest polymorph listed for this composition, meV/atom: 169
V, A^3/atom: 16.412
Uncorrected energy, eV/atom: -8.166
E_form, eV/atom: 0.025

Structure (POSCAR):
```
Ta2NiAu
1.0
2.932 0.000 0.000
0.000 4.778 0.000
0.000 0.000 9.371
Ta Ni Au
4 2 2
Cartesian
0.000 0.000 0.000
0.000 2.389 2.226
1.466 0.000 6.911
1.466 2.389 4.686
0.000 0.000 4.819
1.466 2.389 0.133
0.000 2.389 7.304
1.466 0.000 2.618
```



Entry 16:
A plane-wave DFT calculation with PBE was carried out for a relaxed NaFe2CuSe crystal.

Properties
V, A^3/atom: 20.786
Formation energy from raw total energies, eV/atom: 0.70
Uncorrected energy, eV/atom: -4.464

Structure (POSCAR):
```
NaFe2CuSe
1.0
4.477 0.000 0.000
0.000 4.477 0.000
0.000 0.000 5.184
Na Fe Cu Se
1 2 1 1
Cartesian
0.000 0.000 0.000
0.000 2.239 2.592
2.239 0.000 2.592
2.239 2.239 0.000
0.000 0.000 2.592
```



Entry 17:
A plane-wave DFT calculation with PBE was carried out for a relaxed Ba3Cd2Ag2Au4 crystal.

Properties
V, A^3/atom: 29.877
Uncorrected energy, eV/atom: -2.879
E_form, eV/atom: -0.478

Structure (POSCAR):
```
Ba3Cd2Ag2Au4
1.0
4.870 0.000 0.000
-2.435 4.217 0.000
0.000 0.000 16.003
Ba Cd Ag Au
3 2 2 4
Cartesian
0.000 0.000 0.000
0.000 0.000 4.348
0.000 0.000 11.654
0.000 2.812 9.088
2.435 1.406 6.915
0.000 2.812 2.171
2.435 1.406 13.832
0.000 2.812 6.231
0.000 2.812 13.866
2.435 1.406 2.137
2.435 1.406 9.771
```



Entry 18:
A plane-wave DFT calculation with PBE was carried out for a relaxed TlNi2Br crystal.

Properties
Energy relative to the lowest polymorph listed for this composition, meV/atom: 173
V, A^3/atom: 19.231
Formation energy from raw total energies, eV/atom: 0.27
Uncorrected energy, eV/atom: -3.629

Structure (POSCAR):
```
TlNi2Br
1.0
3.383 0.000 0.000
0.000 3.383 0.000
0.000 0.000 6.722
Tl Ni Br
1 2 1
Cartesian
0.000 0.000 0.000
0.000 0.000 4.038
1.691 1.691 5.369
1.691 1.691 3.045
```



Entry 19:
A plane-wave DFT calculation with PBE was carried out for a relaxed Pu2GeSe4 crystal.

Properties
V, A^3/atom: 25.333
Formation energy from raw total energies, eV/atom: -0.88
Uncorrected energy, eV/atom: -7.625

Structure (POSCAR):
```
Pu2GeSe4
1.0
6.914 0.000 0.000
0.000 6.914 0.000
0.000 0.000 7.420
Pu Ge Se
4 2 8
Cartesian
0.000 3.457 1.855
0.000 3.457 5.565
3.457 0.000 1.855
3.457 0.000 5.565
0.000 0.000 0.000
3.457 3.457 3.710
1.642 1.642 3.710
1.642 5.271 3.710
1.815 1.815 0.000
1.815 5.099 0.000
5.099 1.815 0.000
5.099 5.099 0.000
5.271 1.642 3.710
5.271 5.271 3.710
```



Entry 20:
A plane-wave DFT calculation with PBE was carried out for a relaxed Li3AlGa7 crystal.

Properties
V, A^3/atom: 18.516
Uncorrected energy, eV/atom: -2.865
E_form, eV/atom: -0.076

Structure (POSCAR):
```
Li3AlGa7
1.0
5.170 -4.394 0.000
5.170 4.394 0.000
-2.579 0.000 4.484
Li Al Ga
3 1 7
Cartesian
0.000 0.000 0.000
3.880 2.792 2.242
3.880 -2.792 2.242
5.170 0.000 0.000
1.153 2.280 3.844
0.959 0.000 2.363
6.607 2.280 0.639
3.880 0.000 2.242
1.153 -2.280 3.844
6.802 0.000 2.121
6.607 -2.280 0.639
```



Entry 21:
A plane-wave DFT calculation with PBE was carried out for a relaxed Ho7Er2 crystal.

Properties
Energy relative to the lowest polymorph listed for this composition, meV/atom: 0
V, A^3/atom: 30.609
Uncorrected energy, eV/atom: -4.549
E_form, eV/atom: 0.025

Structure (POSCAR):
```
Ho7Er2
1.0
6.081 0.000 0.000
-3.041 5.267 0.000
0.000 0.000 8.601
Ho Er
7 2
Cartesian
0.000 0.000 0.000
-1.014 1.756 5.737
-2.027 3.511 2.864
2.028 0.000 5.737
1.014 1.756 2.864
4.054 0.000 2.864
2.027 3.511 5.737
0.000 3.511 0.000
3.041 1.756 0.000
```



Entry 22:
A plane-wave DFT calculation with PBE was carried out for a relaxed KBaIn2 crystal.

Properties
Energy relative to the lowest polymorph listed for this composition, meV/atom: 15
V, A^3/atom: 39.557
Uncorrected energy, eV/atom: -2.334
E_form, eV/atom: -0.210

Structure (POSCAR):
```
KBaIn2
1.0
5.241 0.000 0.000
0.000 4.388 0.000
0.000 0.000 13.759
K Ba In
2 2 4
Cartesian
0.000 0.000 0.000
0.000 2.194 6.880
2.621 0.000 9.534
2.621 2.194 2.654
0.000 0.000 3.916
0.000 2.194 10.795
2.621 0.000 5.620
2.621 2.194 12.500
```



Entry 23:
A plane-wave DFT calculation with PBE was carried out for a relaxed Ti2NbCuH crystal.

Properties
Energy relative to the lowest polymorph listed for this composition, meV/atom: 0
V, A^3/atom: 13.239
Uncorrected energy, eV/atom: -6.776

Structure (POSCAR):
```
Ti2NbCuH
1.0
4.041 0.000 0.000
0.000 4.041 0.000
0.000 0.000 4.054
Ti Nb Cu H
2 1 1 1
Cartesian
0.000 2.020 0.000
2.020 0.000 0.000
0.000 0.000 2.027
2.020 2.020 2.027
0.000 0.000 0.000
```



Entry 24:
A plane-wave DFT calculation with PBE was carried out for a relaxed TiAgSn2 crystal.

Properties
Energy relative to the lowest polymorph listed for this composition, meV/atom: 0
V, A^3/atom: 20.434
Uncorrected energy, eV/atom: -4.742
E_form, eV/atom: -0.054

Structure (POSCAR):
```
TiAgSn2
1.0
4.534 0.000 0.000
0.000 4.534 0.000
0.000 0.000 3.976
Ti Ag Sn
1 1 2
Cartesian
0.000 0.000 0.000
2.267 2.267 0.000
0.000 2.267 1.988
2.267 0.000 1.988
```



Entry 25:
A plane-wave DFT calculation with PBE was carried out for a relaxed RbMg2Os crystal.

Properties
Energy relative to the lowest polymorph listed for this composition, meV/atom: 56
V, A^3/atom: 37.462
Uncorrected energy, eV/atom: -2.818
E_form, eV/atom: 1.029

Structure (POSCAR):
```
RbMg2Os
1.0
5.938 0.000 0.000
0.000 5.938 0.000
0.000 0.000 16.997
Rb Mg Os
4 8 4
Cartesian
0.000 1.485 6.374
0.000 4.454 10.623
2.969 1.485 2.125
2.969 4.454 14.872
0.000 0.000 0.000
0.000 2.969 0.000
1.485 1.485 12.748
1.485 4.454 4.249
2.969 0.000 8.498
2.969 2.969 8.498
4.454 1.485 12.748
4.454 4.454 4.249
0.000 1.485 14.872
0.000 4.454 2.125
2.969 1.485 10.623
2.969 4.454 6.374
```



Entry 26:
A plane-wave DFT calculation with PBE was carried out for a relaxed La4Sm2Sc crystal.

Properties
Energy relative to the lowest polymorph listed for this composition, meV/atom: 0
V, A^3/atom: 33.920
Uncorrected energy, eV/atom: -5.030
E_form, eV/atom: 0.039

Structure (POSCAR):
```
La4Sm2Sc
1.0
6.298 0.000 0.000
2.066 7.828 0.000
0.033 0.024 9.632
La Sm Sc
8 4 2
Cartesian
0.000 0.000 0.000
1.058 3.908 4.872
2.122 1.004 2.823
3.185 1.682 8.981
5.212 6.046 0.738
4.254 2.243 5.557
6.262 6.601 6.914
7.326 7.178 3.497
2.088 4.406 1.407
1.084 0.505 6.236
3.164 4.963 7.587
5.260 2.784 2.091
4.176 5.525 4.159
6.341 3.326 8.309
```